Entry 1:
! GGA-PBE In3Pd8, relaxed; values from VASP
! Theoretical density, g/cm3: 9.23
! ΔH_f (0 K), eV per atom: -0.010
&SYSTEM
  ibrav = 0, nat = 11, ntyp = 2
/
ATOMIC_SPECIES
In 114.82 In.upf
Pd 106.42 Pd.upf
CELL_PARAMETERS angstrom
-4.581 0.310 -3.880
-1.766 -5.221 2.398
-2.696 3.374 4.181
ATOMIC_POSITIONS crystal
In 0.500 0.000 0.500
In 0.000 0.500 0.500
In 0.500 0.500 0.000
Pd 0.935 0.312 0.086
Pd 0.312 0.086 0.935
Pd 0.086 0.935 0.312
Pd 0.358 0.358 0.358
Pd 0.642 0.642 0.642
Pd 0.914 0.065 0.688
Pd 0.688 0.914 0.065
Pd 0.065 0.688 0.914

=====

Entry 2:
! GGA-PBE Sr2SiPt, relaxed; values from VASP
! Energy relative to the elements, uncorrected, meV/atom: -280.3
! Theoretical density, g/cm3: 7.20
&SYSTEM
  ibrav = 0, nat = 4, ntyp = 3
/
ATOMIC_SPECIES
Pt 195.08 Pt.upf
Si 28.09 Si.upf
Sr 87.62 Sr.upf
CELL_PARAMETERS angstrom
-3.016 -0.441 4.045
0.144 -5.043 -0.439
4.310 2.639 0.329
ATOMIC_POSITIONS crystal
Pt 0.500 0.500 0.000
Si 0.750 0.250 0.500
Sr 0.000 0.000 0.000
Sr 0.250 0.750 0.500

=====

Entry 3:
! GGA-PBE Ac2TeO6, relaxed; values from VASP
! Energy relative to the elements, uncorrected, meV/atom: -2489.4
! Theoretical density, g/cm3: 7.38
&SYSTEM
  ibrav = 0, nat = 18, ntyp = 3
/
ATOMIC_SPECIES
Ac 227.00 Ac.upf
Te 127.60 Te.upf
O 16.00 O.upf
CELL_PARAMETERS angstrom
-0.918 -5.690 -0.724
6.269 -0.851 -1.256
1.517 -0.620 7.991
ATOMIC_POSITIONS crystal
Ac 0.971 0.423 0.748
Ac 0.529 0.923 0.752
Ac 0.471 0.077 0.248
Ac 0.029 0.577 0.252
Te 0.500 0.500 0.000
Te 0.000 0.000 0.500
O 0.879 0.945 0.276
O 0.864 0.738 0.570
O 0.783 0.648 0.956
O 0.717 0.148 0.544
O 0.636 0.238 0.930
O 0.621 0.445 0.224
O 0.121 0.055 0.724
O 0.136 0.262 0.430
O 0.217 0.352 0.044
O 0.283 0.852 0.456
O 0.364 0.762 0.070
O 0.379 0.555 0.776

=====

Entry 4:
! GGA-PBE TbPrH8Ir2, relaxed; values from VASP
! Theoretical density, g/cm3: 9.04
&SYSTEM
  ibrav = 0, nat = 12, ntyp = 4
/
ATOMIC_SPECIES
Tb 158.93 Tb.upf
Pr 140.91 Pr.upf
H 1.01 H.upf
Ir 192.22 Ir.upf
CELL_PARAMETERS angstrom
-4.566 -0.828 -1.489
-3.419 -1.288 3.225
-4.041 5.250 1.495
ATOMIC_POSITIONS crystal
Tb 0.000 0.000 0.000
Pr 0.500 0.500 0.500
H 0.176 0.176 0.472
H 0.531 0.407 0.172
H 0.824 0.824 0.528
H 0.890 0.531 0.172
H 0.110 0.469 0.828
H 0.407 0.890 0.172
H 0.593 0.110 0.828
H 0.469 0.593 0.828
Ir 0.263 0.263 0.211
Ir 0.737 0.737 0.789

=====

Entry 5:
! GGA-PBE Pm2Mg4Sb3N2, relaxed; values from VASP
! Energy relative to the elements, uncorrected, meV/atom: -711.8
! Theoretical density, g/cm3: 5.31
&SYSTEM
  ibrav = 0, nat = 11, ntyp = 4
/
ATOMIC_SPECIES
Pm 145.00 Pm.upf
Mg 24.30 Mg.upf
Sb 121.76 Sb.upf
N 14.01 N.upf
CELL_PARAMETERS angstrom
4.402 0.000 0.000
0.000 4.402 0.000
-2.201 -2.201 12.592
ATOMIC_POSITIONS crystal
Pm 0.316 0.316 0.631
Pm 0.684 0.684 0.369
Mg 0.421 0.921 0.841
Mg 0.921 0.421 0.841
Mg 0.079 0.579 0.159
Mg 0.579 0.079 0.159
Sb 0.000 0.000 0.000
Sb 0.180 0.180 0.359
Sb 0.820 0.820 0.641
N 0.406 0.406 0.812
N 0.594 0.594 0.188

=====

Entry 6:
! GGA-PBE NdDy4Y4, relaxed; values from VASP
! Theoretical density, g/cm3: 6.59
! ΔH_f (0 K), eV per atom: 0.021
&SYSTEM
  ibrav = 0, nat = 9, ntyp = 3
/
ATOMIC_SPECIES
Nd 144.24 Nd.upf
Dy 162.50 Dy.upf
Y 88.91 Y.upf
CELL_PARAMETERS angstrom
5.042 0.000 0.000
2.521 7.579 0.000
2.521 0.000 7.579
ATOMIC_POSITIONS crystal
Nd 0.000 0.000 0.000
Dy 0.665 0.335 0.335
Dy 0.335 0.665 0.665
Dy 0.000 0.665 0.335
Dy 0.000 0.335 0.665
Y 0.667 0.665 0.000
Y 0.333 0.335 0.000
Y 0.667 0.000 0.665
Y 0.333 0.000 0.335

=====

no.,N(E_F) (states/eV per atom),total DFT energy (no corrections) (eV per cell),magnetic moment (μB per formula unit)
1,0.686,-49.86,0.0
2,0.079,-15.95,0.0
3,0.000,-127.03,0.0
4,0.187,-57.24,0.0
5,0.481,-52.73,0.0
6,1.463,-48.84,0.0